Material: NdMg
Method: DFT, PBE
State: optimized geometry

Cell lengths 5.044, 5.044, 8.271 Å; angles 90.00, 90.00, 120.00 degrees
Site moments in Bohr magnetons follow the coordinates.
Positions (direct):
Nd  0.000  0.000  0.375  0.28
Nd  0.333  0.667  0.875  0.29
Mg  0.000  0.000  0.000  0.02
Mg  0.333  0.667  0.500  0.02

- E above lowest polymorph (meV/atom) = 1260
- space-group type = P6_3mc
- DFT total energy (eV per cell) = -8.0